A plane-wave DFT calculation with PBE was carried out for a geometry-optimized PmPrTm structure.

Cell: 3.617 3.617 8.861 Å, 90.00 90.00 120.00°
Atoms (fractional coordinates):
1 Pm 0.333 0.667 0.659
2 Tm 0.667 0.333 0.335
3 Pr 0.000 0.000 0.006

As for the space group: P3m1 (156). For the energy of formation, the calculation gives 0.0234 eV per atom. The calculation puts the density of states at the Fermi level at 3.946 states/eV per cell. The calculated total energy is -4.644 eV/atom.

=====

A plane-wave DFT calculation with PBE was carried out for a geometry-optimized Pm3Pr3Tm8 structure.

Cell: 5.656 9.729 9.729 Å, 102.91 73.07 73.07°
Atoms (fractional coordinates):
1 Tm 0.840 0.761 0.557
2 Tm 0.338 0.443 0.882
3 Tm 0.160 0.239 0.443
4 Tm 0.662 0.118 0.557
5 Tm 0.160 0.443 0.239
6 Tm 0.338 0.882 0.443
7 Tm 0.840 0.557 0.761
8 Tm 0.662 0.557 0.118
9 Pr 0.500 0.000 0.000
10 Pr 0.000 0.811 0.189
11 Pr 0.000 0.189 0.811
12 Pm 0.500 0.500 0.500
13 Pm 0.197 0.802 0.802
14 Pm 0.803 0.198 0.198

As for the space group: C2/m (12). For the energy of formation, the calculation gives 0.1086 eV per atom. The calculation puts the density of states at the Fermi level at 22.067 states/eV per cell. The calculated total energy is -4.489 eV/atom.

=====

A plane-wave DFT calculation with PBE was carried out for a geometry-optimized Pm5Pr6Tm2 structure.

Cell: 3.659 11.821 21.054 Å, 90.00 90.00 90.00°
Atoms (fractional coordinates):
1 Tm 0.000 0.668 0.710
2 Tm 0.000 0.332 0.290
3 Tm 0.000 0.168 0.790
4 Tm 0.000 0.832 0.210
5 Pr 0.000 0.063 0.081
6 Pr 0.000 0.937 0.919
7 Pr 0.500 0.327 0.139
8 Pr 0.500 0.673 0.861
9 Pr 0.000 0.584 0.132
10 Pr 0.000 0.084 0.368
11 Pr 0.500 0.827 0.361
12 Pr 0.000 0.437 0.581
13 Pr 0.000 0.416 0.868
14 Pr 0.500 0.173 0.639
15 Pr 0.000 0.563 0.419
16 Pr 0.000 0.916 0.632
17 Pm 0.500 0.911 0.772
18 Pm 0.500 0.411 0.728
19 Pm 0.500 0.196 0.944
20 Pm 0.500 0.304 0.444
21 Pm 0.500 0.000 0.500
22 Pm 0.500 0.589 0.272
23 Pm 0.500 0.089 0.228
24 Pm 0.500 0.804 0.056
25 Pm 0.500 0.500 0.000
26 Pm 0.500 0.696 0.556

As for the space group: Pbam (55). For the energy of formation, the calculation gives 0.0938 eV per atom. The calculation puts the density of states at the Fermi level at 30.013 states/eV per cell. The calculated total energy is -4.627 eV/atom.

=====

A plane-wave DFT calculation with PBE was carried out for a geometry-optimized Pm2Pr3Tm3 structure.

Cell: 5.996 6.020 8.544 Å, 110.61 110.54 90.00°
Atoms (fractional coordinates):
1 Pr 0.500 0.500 0.000
2 Pr 0.629 0.129 0.258
3 Pr 0.371 0.871 0.742
4 Pm 0.755 0.755 0.510
5 Pm 0.245 0.245 0.490
6 Tm 0.000 0.000 0.000
7 Tm 0.122 0.623 0.245
8 Tm 0.878 0.377 0.755

As for the space group: Immm (71). For the energy of formation, the calculation gives 0.1194 eV per atom. The calculation puts the density of states at the Fermi level at 15.319 states/eV per cell. The calculated total energy is -4.537 eV/atom.

=====

> Look up the calculated total energy of the first one.

-4.644 eV/atom